## a
ErPaSi2 | GGA-PBE | optimized geometry

Output
crystal system: trigonal
N(E_F): 2.973 states/eV per cell

Lattice parameters (Å, degrees): 4.521 4.521 5.672 66.51 66.51 60.00
Sites, in units of the cell vectors:
Pa (0.500, 0.500, 0.500)
Er (0.000, 0.000, 0.000)
Si (0.748, 0.748, 0.755)
Si (0.252, 0.252, 0.245)

---

## b
ErPaSi2 | GGA-PBE | optimized geometry

Output
crystal system: orthorhombic
N(E_F): 4.751 states/eV per cell

Lattice parameters (Å, degrees): 4.176 3.936 5.619 90.00 111.84 90.00
Sites, in units of the cell vectors:
Si (0.007, 0.000, 0.553)
Si (0.164, 0.500, 0.867)
Er (0.440, 0.500, 0.419)
Pa (0.720, 0.000, 0.979)

---

Here are the energies relative to the best structure, in kJ/mol of atoms: a 15.6; b 0.0.

---

## a
ErPaSi | GGA-PBE | optimized geometry

Output
crystal system: trigonal
N(E_F): 4.830 states/eV per cell

Lattice parameters (Å, degrees): 3.495 4.826 4.826 120.00 90.00 90.00
Sites, in units of the cell vectors:
Er (0.585, 0.667, 0.333)
Pa (0.055, 0.000, 0.000)
Si (0.360, 0.333, 0.667)

---

## b
ErPaSi | GGA-PBE | optimized geometry

Output
crystal system: orthorhombic
N(E_F): 16.222 states/eV per cell

Lattice parameters (Å, degrees): 7.439 7.439 7.571 105.95 105.95 116.14
Last column: magnetic moment on the atom in μB.
Sites, in units of the cell vectors:
Si (0.451, 0.549, 0.500)  0.00
Si (0.201, 0.799, 0.000)  0.00
Si (0.799, 0.201, 0.000)  0.00
Si (0.049, 0.951, 0.500)  0.00
Er (0.625, 0.875, 0.250)  0.01
Er (0.625, 0.375, 0.750)  0.01
Er (0.125, 0.375, 0.750)  0.01
Er (0.625, 0.375, 0.250)  0.01
Pa (0.352, 0.852, 0.704)  0.36
Pa (0.898, 0.898, 0.796)  0.36
Pa (0.102, 0.102, 0.204)  0.36
Pa (0.148, 0.648, 0.296)  0.36

---

Here are the energies relative to the best structure, in kJ/mol of atoms: a 9.8; b 0.0.

---

## a
ErPaSn2 | GGA-PBE | optimized geometry

Output
crystal system: tetragonal
N(E_F): 5.004 states/eV per cell

Lattice parameters (Å, degrees): 4.366 4.862 4.862 90.00 90.00 90.00
Last column: magnetic moment on the atom in μB.
Sites, in units of the cell vectors:
Sn (0.000, 0.500, 0.000)  0.00
Sn (0.000, 0.000, 0.500)  0.00
Er (0.500, 0.000, 0.000)  0.07
Pa (0.500, 0.500, 0.500)  0.34

---

## b
ErPaSn2 | GGA-PBE | optimized geometry

Output
crystal system: tetragonal
N(E_F): 5.604 states/eV per cell

Lattice parameters (Å, degrees): 3.375 3.375 8.981 90.00 90.00 90.00
Last column: magnetic moment on the atom in μB.
Sites, in units of the cell vectors:
Sn (0.000, 0.000, 0.253)  -0.01
Sn (0.000, 0.000, 0.747)  -0.01
Pa (0.500, 0.500, 0.000)  0.38
Er (0.500, 0.500, 0.500)  -0.01

---

Here are the energies relative to the best structure, in kJ/mol of atoms: a 0.8; b 0.0.

---

## a
ErPaSn2 | GGA-PBE | optimized geometry

Output
crystal system: cubic
N(E_F): 8.053 states/eV per cell

Lattice parameters (Å, degrees): 5.304 5.304 5.304 60.00 60.00 60.00
Last column: magnetic moment on the atom in μB.
Sites, in units of the cell vectors:
Pa (0.000, 0.000, 0.000)  0.81
Er (0.500, 0.500, 0.500)  0.24
Sn (0.750, 0.750, 0.750)  0.02
Sn (0.250, 0.250, 0.250)  0.02

---

## b
ErPaSn2 | GGA-PBE | optimized geometry

Output
crystal system: trigonal
N(E_F): 6.843 states/eV per cell

Lattice parameters (Å, degrees): 3.289 3.289 11.909 82.06 82.06 60.00
Last column: magnetic moment on the atom in μB.
Sites, in units of the cell vectors:
Sn (0.090, 0.090, 0.729)  0.01
Sn (0.910, 0.910, 0.271)  0.01
Er (0.500, 0.500, 0.500)  0.03
Pa (0.000, 0.000, 0.000)  0.30

---

Here are the energies relative to the best structure, in kJ/mol of atoms: a 0.0; b 32.0.

---

## a
Er2PaSn | GGA-PBE | optimized geometry

Output
crystal system: cubic
N(E_F): 7.134 states/eV per cell

Lattice parameters (Å, degrees): 5.302 5.302 5.302 60.00 60.00 60.00
Last column: magnetic moment on the atom in μB.
Sites, in units of the cell vectors:
Pa (0.500, 0.500, 0.500)  0.77
Er (0.250, 0.250, 0.250)  0.25
Er (0.750, 0.750, 0.750)  0.25
Sn (0.000, 0.000, 0.000)  -0.03

---

## b
Er2PaSn | GGA-PBE | optimized geometry

Output
crystal system: tetragonal
N(E_F): 3.756 states/eV per cell

Lattice parameters (Å, degrees): 3.768 3.768 7.469 90.00 90.00 90.00
Sites, in units of the cell vectors:
Pa (0.500, 0.500, 0.500)
Er (0.000, 0.000, 0.767)
Er (0.000, 0.000, 0.233)
Sn (0.500, 0.500, 0.000)

---

## c
Er2PaSn | GGA-PBE | optimized geometry

Output
crystal system: trigonal
N(E_F): 4.631 states/eV per cell

Lattice parameters (Å, degrees): 3.399 3.399 11.803 81.72 81.72 60.00
Sites, in units of the cell vectors:
Pa (0.500, 0.500, 0.500)
Er (0.089, 0.089, 0.733)
Er (0.911, 0.911, 0.267)
Sn (0.000, 0.000, 0.000)

---

Here are the energies relative to the best structure, in kJ/mol of atoms: a 17.7; b 0.0; c 25.1.

---

## a
TbErPa | GGA-PBE | optimized geometry

Output
crystal system: monoclinic
N(E_F): 11.068 states/eV per cell

Lattice parameters (Å, degrees): 7.959 4.777 4.778 90.00 90.00 72.66
Last column: magnetic moment on the atom in μB.
Sites, in units of the cell vectors:
Tb (0.981, 0.781, 0.041)  0.00
Tb (0.350, 0.595, 0.541)  0.00
Er (0.981, 0.281, 0.541)  0.00
Er (0.350, 0.095, 0.041)  0.00
Pa (0.665, 0.938, 0.541)  0.08
Pa (0.666, 0.438, 0.041)  0.08

---

## b
TbErPa | GGA-PBE | optimized geometry

Output
crystal system: trigonal
N(E_F): 4.367 states/eV per cell

Lattice parameters (Å, degrees): 3.417 3.417 8.510 90.00 90.00 120.00
Sites, in units of the cell vectors:
Pa (0.000, 0.000, 0.001)
Er (0.667, 0.333, 0.320)
Tb (0.333, 0.667, 0.679)

---

Here are the energies relative to the best structure, in kJ/mol of atoms: a 3.1; b 0.0.

---

## a
ErPa2Tc | GGA-PBE | optimized geometry

Output
crystal system: tetragonal
N(E_F): 11.009 states/eV per cell

Lattice parameters (Å, degrees): 3.303 3.303 8.868 90.00 90.00 90.00
Sites, in units of the cell vectors:
Pa (0.000, 0.000, 0.798)
Pa (0.000, 0.000, 0.202)
Tc (0.500, 0.500, 0.000)
Er (0.500, 0.500, 0.500)

---

## b
ErPa2Tc | GGA-PBE | optimized geometry

Output
crystal system: trigonal
N(E_F): 7.309 states/eV per cell

Lattice parameters (Å, degrees): 4.769 4.769 5.492 64.27 64.27 60.00
Sites, in units of the cell vectors:
Er (0.000, 0.000, 0.000)
Pa (0.240, 0.240, 0.279)
Pa (0.760, 0.760, 0.721)
Tc (0.500, 0.500, 0.500)

---

Here are the energies relative to the best structure, in kJ/mol of atoms: a 0.0; b 19.4.

---

## a
ErPaTc2 | GGA-PBE | optimized geometry

Output
crystal system: cubic
N(E_F): 2.537 states/eV per cell

Lattice parameters (Å, degrees): 4.825 4.825 4.825 60.00 60.00 60.00
Sites, in units of the cell vectors:
Tc (0.750, 0.750, 0.750)
Tc (0.250, 0.250, 0.250)
Pa (0.000, 0.000, 0.000)
Er (0.500, 0.500, 0.500)

---

## b
ErPaTc2 | GGA-PBE | optimized geometry

Output
crystal system: tetragonal
N(E_F): 4.353 states/eV per cell

Lattice parameters (Å, degrees): 3.416 3.416 6.889 90.00 90.00 90.00
Sites, in units of the cell vectors:
Pa (0.500, 0.500, 0.000)
Er (0.500, 0.500, 0.500)
Tc (0.000, 0.000, 0.778)
Tc (0.000, 0.000, 0.222)

---

Here are the energies relative to the best structure, in kJ/mol of atoms: a 4.4; b 0.0.